Version i
Here is a geometry-optimized BSbMo2Pt structure from the Alexandria database. Energies are from PBE.

a = 5.051 Å, b = 5.051 Å, c = 4.075 Å
α = 90.00°, β = 90.00°, γ = 90.00°
Each line ends with the local moment (μB).
Fractional coordinates of all 5 atoms:
1 Mo 0.500 0.000 0.000  1.64
2 Mo 0.000 0.500 0.000  1.64
3 Pt 0.500 0.500 0.500  0.11
4 Sb 0.000 0.000 0.000  -0.02
5 B 0.000 0.000 0.500  -0.06

SG = P4/mmm, No. 123



Version ii
Here is a geometry-optimized BSbMo2Pt structure from the Alexandria database. Energies are from PBE.

a = 5.120 Å, b = 4.867 Å, c = 5.120 Å
α = 90.00°, β = 90.00°, γ = 90.00°
Each line ends with the local moment (μB).
Fractional coordinates of all 5 atoms:
1 Mo 0.500 0.000 0.000  2.17
2 Mo 0.000 0.000 0.500  2.56
3 Sb 0.000 0.000 0.000  -0.06
4 B 0.500 0.500 0.500  -0.06
5 Pt 0.000 0.500 0.000  0.06

SG = P4/mmm, No. 123



Relative energies in meV per atom: version i 0; version ii 329



Version i
Here is a geometry-optimized TcBMo2Pt structure from the Alexandria database. Energies are from PBE.

a = 4.167 Å, b = 4.090 Å, c = 4.167 Å
α = 90.00°, β = 90.00°, γ = 90.00°
Fractional coordinates of all 5 atoms:
1 Mo 0.000 0.000 0.500
2 Mo 0.500 0.000 0.000
3 Pt 0.500 0.500 0.500
4 Tc 0.000 0.500 0.000
5 B 0.000 0.000 0.000

SG = P4/mmm, No. 123



Version ii
Here is a geometry-optimized TcBMo2Pt structure from the Alexandria database. Energies are from PBE.

a = 4.185 Å, b = 4.063 Å, c = 4.185 Å
α = 90.00°, β = 90.00°, γ = 90.00°
Fractional coordinates of all 5 atoms:
1 Pt 0.000 0.500 0.000
2 B 0.000 0.000 0.000
3 Mo 0.500 0.000 0.000
4 Mo 0.000 0.000 0.500
5 Tc 0.500 0.500 0.500

SG = P4/mmm, No. 123



Relative energies in meV per atom: version i 0; version ii 83



Version i
Here is a geometry-optimized PuB4Mo structure from the Alexandria database. Energies are from PBE.

a = 3.524 Å, b = 3.067 Å, c = 5.721 Å
α = 90.00°, β = 90.00°, γ = 90.00°
Each line ends with the local moment (μB).
Fractional coordinates of all 6 atoms:
1 B 0.499 0.497 0.703  -0.03
2 B 0.499 0.997 0.843  -0.01
3 B 0.499 0.997 0.153  -0.01
4 B 0.499 0.497 0.293  -0.03
5 Mo 0.999 0.497 0.998  -0.28
6 Pu 0.999 0.997 0.498  4.52

SG = Pmmm, No. 47



Version ii
Here is a geometry-optimized PuB4Mo structure from the Alexandria database. Energies are from PBE.

a = 3.634 Å, b = 6.026 Å, c = 11.666 Å
α = 90.00°, β = 90.00°, γ = 90.00°
Each line ends with the local moment (μB).
Fractional coordinates of all 24 atoms:
1 B 0.500 0.633 0.532  -0.03
2 B 0.500 0.213 0.813  -0.04
3 B 0.500 0.525 0.807  -0.03
4 B 0.500 0.713 0.687  -0.04
5 B 0.500 0.115 0.547  -0.02
6 B 0.500 0.367 0.468  -0.03
7 B 0.500 0.475 0.193  -0.03
8 B 0.500 0.133 0.968  -0.03
9 B 0.500 0.787 0.187  -0.04
10 B 0.500 0.287 0.313  -0.04
11 B 0.500 0.867 0.032  -0.03
12 B 0.500 0.975 0.307  -0.03
13 B 0.500 0.025 0.693  -0.03
14 B 0.500 0.385 0.047  -0.02
15 B 0.500 0.615 0.953  -0.02
16 B 0.500 0.885 0.453  -0.02
17 Pu 0.000 0.374 0.651  4.75
18 Pu 0.000 0.874 0.849  4.75
19 Pu 0.000 0.126 0.151  4.75
20 Pu 0.000 0.626 0.349  4.75
21 Mo 0.000 0.868 0.586  0.01
22 Mo 0.000 0.632 0.086  0.01
23 Mo 0.000 0.368 0.914  0.01
24 Mo 0.000 0.132 0.414  0.01

SG = Pbam, No. 55



Relative energies in meV per atom: version i 121; version ii 0



Version i
Here is a geometry-optimized RbB3Mo structure from the Alexandria database. Energies are from PBE.

a = 4.378 Å, b = 4.378 Å, c = 4.378 Å
α = 90.00°, β = 90.00°, γ = 90.00°
Fractional coordinates of all 5 atoms:
1 B 0.000 0.500 0.000
2 B 0.500 0.000 0.000
3 B 0.000 0.000 0.500
4 Mo 0.000 0.000 0.000
5 Rb 0.500 0.500 0.500

SG = Pm-3m, No. 221



Version ii
Here is a geometry-optimized RbB3Mo structure from the Alexandria database. Energies are from PBE.

a = 4.229 Å, b = 4.229 Å, c = 4.229 Å
α = 90.00°, β = 90.00°, γ = 90.00°
Each line ends with the local moment (μB).
Fractional coordinates of all 5 atoms:
1 Mo 0.500 0.500 0.500  0.27
2 B 0.000 0.500 0.000  0.00
3 B 0.000 0.000 0.500  -0.01
4 B 0.500 0.000 0.000  0.01
5 Rb 0.000 0.000 0.000  0.02

SG = Pm-3m, No. 221



Relative energies in meV per atom: version i 0; version ii 2722



Version i
Here is a geometry-optimized Re3BMo structure from the Alexandria database. Energies are from PBE.

a = 4.755 Å, b = 7.629 Å, c = 7.571 Å
α = 90.00°, β = 90.00°, γ = 90.00°
Fractional coordinates of all 20 atoms:
1 B 0.500 0.000 0.000
2 B 0.000 0.500 0.000
3 B 0.500 0.000 0.500
4 B 0.000 0.500 0.500
5 Re 0.634 0.656 0.057
6 Re 0.815 0.460 0.750
7 Re 0.134 0.844 0.443
8 Re 0.134 0.844 0.057
9 Re 0.315 0.040 0.750
10 Re 0.634 0.656 0.443
11 Re 0.366 0.344 0.557
12 Re 0.866 0.156 0.943
13 Re 0.185 0.540 0.250
14 Re 0.366 0.344 0.943
15 Re 0.685 0.960 0.250
16 Re 0.866 0.156 0.557
17 Mo 0.832 0.845 0.750
18 Mo 0.168 0.155 0.250
19 Mo 0.668 0.345 0.250
20 Mo 0.332 0.655 0.750

SG = Pnma, No. 62



Version ii
Here is a geometry-optimized Re3BMo structure from the Alexandria database. Energies are from PBE.

a = 4.211 Å, b = 5.817 Å, c = 5.618 Å
α = 90.00°, β = 90.00°, γ = 90.00°
Fractional coordinates of all 10 atoms:
1 Mo 0.500 0.507 0.250
2 Mo 0.500 0.493 0.750
3 Re 0.500 0.974 0.250
4 Re 0.000 0.778 0.499
5 Re 0.500 0.026 0.750
6 Re 0.000 0.222 0.501
7 Re 0.000 0.778 0.001
8 Re 0.000 0.222 0.999
9 B 0.000 0.500 0.750
10 B 0.000 0.500 0.250

SG = Pmma, No. 51



Version iii
Here is a geometry-optimized Re3BMo structure from the Alexandria database. Energies are from PBE.

a = 4.712 Å, b = 4.712 Å, c = 4.712 Å
α = 90.00°, β = 90.00°, γ = 90.00°
Each line ends with the local moment (μB).
Fractional coordinates of all 5 atoms:
1 B 0.500 0.500 0.500  0.01
2 Re 0.000 0.000 0.500  0.90
3 Re 0.500 0.000 0.000  0.84
4 Re 0.000 0.500 0.000  0.74
5 Mo 0.000 0.000 0.000  -0.14

SG = Pm-3m, No. 221



Relative energies in meV per atom: version i 8; version ii 0; version iii 3101



Version i
Here is a geometry-optimized BMoRh3 structure from the Alexandria database. Energies are from PBE.

a = 4.666 Å, b = 4.666 Å, c = 4.666 Å
α = 90.00°, β = 90.00°, γ = 90.00°
Fractional coordinates of all 5 atoms:
1 Rh 0.000 0.000 0.500
2 Rh 0.000 0.500 0.000
3 Rh 0.500 0.000 0.000
4 B 0.500 0.500 0.500
5 Mo 0.000 0.000 0.000

SG = Pm-3m, No. 221



Version ii
Here is a geometry-optimized BMoRh3 structure from the Alexandria database. Energies are from PBE.

a = 4.092 Å, b = 4.092 Å, c = 4.092 Å
α = 90.00°, β = 90.00°, γ = 90.00°
Each line ends with the local moment (μB).
Fractional coordinates of all 5 atoms:
1 B 0.000 0.000 0.000  -0.01
2 Rh 0.000 0.000 0.500  0.09
3 Rh 0.500 0.000 0.000  0.01
4 Rh 0.000 0.500 0.000  0.06
5 Mo 0.500 0.500 0.500  1.70

SG = Pm-3m, No. 221



Relative energies in meV per atom: version i 1929; version ii 0



Version i
Here is a geometry-optimized B3MoRh structure from the Alexandria database. Energies are from PBE.

a = 4.069 Å, b = 4.069 Å, c = 4.069 Å
α = 90.00°, β = 90.00°, γ = 90.00°
Each line ends with the local moment (μB).
Fractional coordinates of all 5 atoms:
1 B 0.000 0.000 0.500  0.01
2 B 0.000 0.500 0.000  0.06
3 B 0.500 0.000 0.000  0.03
4 Rh 0.500 0.500 0.500  1.16
5 Mo 0.000 0.000 0.000  0.46

SG = Pm-3m, No. 221



Version ii
Here is a geometry-optimized B3MoRh structure from the Alexandria database. Energies are from PBE.

a = 3.938 Å, b = 3.938 Å, c = 3.938 Å
α = 90.00°, β = 90.00°, γ = 90.00°
Fractional coordinates of all 5 atoms:
1 B 0.000 0.500 0.000
2 B 0.500 0.000 0.000
3 B 0.000 0.000 0.500
4 Rh 0.000 0.000 0.000
5 Mo 0.500 0.500 0.500

SG = Pm-3m, No. 221



Relative energies in meV per atom: version i 146; version ii 0



Version i
Here is a geometry-optimized B2MoRh structure from the Alexandria database. Energies are from PBE.

a = 4.492 Å, b = 4.492 Å, c = 6.184 Å
α = 68.70°, β = 68.70°, γ = 90.00°
Fractional coordinates of all 8 atoms:
1 B 0.875 0.904 0.750
2 B 0.096 0.625 0.250
3 B 0.654 0.125 0.250
4 B 0.375 0.346 0.750
5 Mo 0.250 0.750 0.500
6 Mo 0.500 0.500 0.000
7 Rh 0.750 0.250 0.500
8 Rh 0.000 0.000 0.000

SG = I-42d, No. 122



Version ii
Here is a geometry-optimized B2MoRh structure from the Alexandria database. Energies are from PBE.

a = 3.897 Å, b = 3.897 Å, c = 3.897 Å
α = 60.00°, β = 60.00°, γ = 60.00°
Each line ends with the local moment (μB).
Fractional coordinates of all 4 atoms:
1 Mo 0.000 0.000 0.000  0.39
2 Rh 0.500 0.500 0.500  0.24
3 B 0.750 0.750 0.750  0.01
4 B 0.250 0.250 0.250  0.01

SG = Fm-3m, No. 225



Relative energies in meV per atom: version i 273; version ii 0



Version i
Here is a geometry-optimized B2MoRu structure from the Alexandria database. Energies are from PBE.

a = 4.505 Å, b = 4.505 Å, c = 6.160 Å
α = 68.55°, β = 68.55°, γ = 90.00°
Fractional coordinates of all 8 atoms:
1 B 0.375 0.347 0.750
2 B 0.097 0.625 0.250
3 B 0.653 0.125 0.250
4 B 0.875 0.903 0.750
5 Mo 0.250 0.750 0.500
6 Mo 0.500 0.500 0.000
7 Ru 0.000 0.000 0.000
8 Ru 0.750 0.250 0.500

SG = I-42d, No. 122



Version ii
Here is a geometry-optimized B2MoRu structure from the Alexandria database. Energies are from PBE.

a = 3.887 Å, b = 3.887 Å, c = 3.887 Å
α = 60.00°, β = 60.00°, γ = 60.00°
Fractional coordinates of all 4 atoms:
1 B 0.750 0.750 0.750
2 B 0.250 0.250 0.250
3 Mo 0.000 0.000 0.000
4 Ru 0.500 0.500 0.500

SG = Fm-3m, No. 225



Relative energies in meV per atom: version i 445; version ii 0



Version i
Here is a geometry-optimized B2MoRu structure from the Alexandria database. Energies are from PBE.

a = 2.969 Å, b = 4.594 Å, c = 5.988 Å
α = 90.00°, β = 90.00°, γ = 90.00°
Fractional coordinates of all 8 atoms:
1 B 0.500 0.833 0.473
2 B 0.500 0.167 0.973
3 B 0.000 0.633 0.530
4 B 0.000 0.367 0.030
5 Mo 0.000 0.117 0.679
6 Mo 0.000 0.883 0.179
7 Ru 0.500 0.624 0.818
8 Ru 0.500 0.376 0.318

SG = Pmc2_1, No. 26



Version ii
Here is a geometry-optimized B2MoRu structure from the Alexandria database. Energies are from PBE.

a = 3.260 Å, b = 3.260 Å, c = 5.065 Å
α = 71.23°, β = 71.23°, γ = 60.00°
Fractional coordinates of all 4 atoms:
1 Mo 0.000 0.000 0.000
2 B 0.757 0.757 0.730
3 B 0.243 0.243 0.270
4 Ru 0.500 0.500 0.500

SG = R-3m, No. 166



Relative energies in meV per atom: version i 0; version ii 244



Version i
Here is a geometry-optimized BMo3Ru structure from the Alexandria database. Energies are from PBE.

a = 4.648 Å, b = 4.648 Å, c = 4.648 Å
α = 90.00°, β = 90.00°, γ = 90.00°
Fractional coordinates of all 5 atoms:
1 Ru 0.000 0.000 0.000
2 B 0.500 0.500 0.500
3 Mo 0.000 0.500 0.000
4 Mo 0.500 0.000 0.000
5 Mo 0.000 0.000 0.500

SG = Pm-3m, No. 221



Version ii
Here is a geometry-optimized BMo3Ru structure from the Alexandria database. Energies are from PBE.

a = 4.159 Å, b = 4.159 Å, c = 4.159 Å
α = 90.00°, β = 90.00°, γ = 90.00°
Fractional coordinates of all 5 atoms:
1 Ru 0.500 0.500 0.500
2 Mo 0.500 0.000 0.000
3 Mo 0.000 0.500 0.000
4 Mo 0.000 0.000 0.500
5 B 0.000 0.000 0.000

SG = Pm-3m, No. 221



Relative energies in meV per atom: version i 2188; version ii 0



Version i
Here is a geometry-optimized BMoS3 structure from the Alexandria database. Energies are from PBE.

a = 4.126 Å, b = 4.126 Å, c = 4.126 Å
α = 90.00°, β = 90.00°, γ = 90.00°
Each line ends with the local moment (μB).
Fractional coordinates of all 5 atoms:
1 B 0.000 0.000 0.000  0.01
2 Mo 0.500 0.500 0.500  2.09
3 S 0.000 0.000 0.500  -0.10
4 S 0.500 0.000 0.000  -0.11
5 S 0.000 0.500 0.000  -0.17

SG = Pm-3m, No. 221



Version ii
Here is a geometry-optimized BMoS3 structure from the Alexandria database. Energies are from PBE.

a = 4.687 Å, b = 4.687 Å, c = 4.687 Å
α = 90.00°, β = 90.00°, γ = 90.00°
Fractional coordinates of all 5 atoms:
1 S 0.000 0.500 0.000
2 S 0.000 0.000 0.500
3 S 0.500 0.000 0.000
4 B 0.500 0.500 0.500
5 Mo 0.000 0.000 0.000

SG = Pm-3m, No. 221



Relative energies in meV per atom: version i 0; version ii 157